The following is a GGA-PBE calculation of an optimized crystal structure of NaRh2S2, from Alexandria.

```
data_NaRh2S2
_space_group_name_H-M_alt 'P 1'
_space_group_IT_number 1
_space_group_name_Hall 'P 1'
_cell_length_a 4.493
_cell_length_b 4.493
_cell_length_c 5.351
_cell_angle_alpha 65.18
_cell_angle_beta 65.18
_cell_angle_gamma 90.00
loop_
_atom_site_label
_atom_site_type_symbol
_atom_site_fract_x
_atom_site_fract_y
_atom_site_fract_z
_atom_site_occupancy
Na1 Na 0.000 0.000 0.000 1
S1 S 0.750 0.250 0.500 1
S2 S 0.250 0.750 0.500 1
Rh1 Rh 0.340 0.340 0.320 1
Rh2 Rh 0.660 0.660 0.680 1
```

Properties
Crystal system: tetragonal
Formation energy without anion corrections, eV/atom: -0.3508
Calculated density, kg/m3: 5596
E, eV per formula unit: -26.031
M_tot, Bohr magnetons per cell: 0.0

=====

The following is a GGA-PBE calculation of an optimized crystal structure of Na2RhS2, from Alexandria.

```
data_Na2RhS2
_space_group_name_H-M_alt 'P 1'
_space_group_IT_number 1
_space_group_name_Hall 'P 1'
_cell_length_a 6.465
_cell_length_b 6.465
_cell_length_c 4.377
_cell_angle_alpha 90.00
_cell_angle_beta 90.00
_cell_angle_gamma 90.00
loop_
_atom_site_label
_atom_site_type_symbol
_atom_site_fract_x
_atom_site_fract_y
_atom_site_fract_z
_atom_site_occupancy
Na1 Na 0.155 0.655 0.500 1
Na2 Na 0.655 0.845 0.500 1
Na3 Na 0.845 0.345 0.500 1
Na4 Na 0.345 0.155 0.500 1
S1 S 0.332 0.832 0.000 1
S2 S 0.832 0.668 0.000 1
S3 S 0.668 0.168 0.000 1
S4 S 0.168 0.332 0.000 1
Rh1 Rh 0.000 0.000 0.000 1
Rh2 Rh 0.500 0.500 0.000 1
```

Properties
Crystal system: tetragonal
Formation energy without anion corrections, eV/atom: -0.5684
Calculated density, kg/m3: 3867
E, eV per formula unit: -21.086
M_tot, Bohr magnetons per cell: 2.0

=====

The following is a GGA-PBE calculation of an optimized crystal structure of NaRhS3, from Alexandria.

```
data_NaRhS3
_space_group_name_H-M_alt 'P 1'
_space_group_IT_number 1
_space_group_name_Hall 'P 1'
_cell_length_a 4.756
_cell_length_b 4.756
_cell_length_c 4.756
_cell_angle_alpha 90.00
_cell_angle_beta 90.00
_cell_angle_gamma 90.00
loop_
_atom_site_label
_atom_site_type_symbol
_atom_site_fract_x
_atom_site_fract_y
_atom_site_fract_z
_atom_site_occupancy
Na1 Na 0.000 0.000 0.000 1
S1 S 0.000 0.500 0.000 1
S2 S 0.000 0.000 0.500 1
S3 S 0.500 0.000 0.000 1
Rh1 Rh 0.500 0.500 0.500 1
```

Properties
Crystal system: cubic
Formation energy without anion corrections, eV/atom: 1.3490
Calculated density, kg/m3: 3427
E, eV per formula unit: -14.308
M_tot, Bohr magnetons per cell: 1.1
Energy above the most stable polymorph in this dataset, meV per atom: 1343.6

=====

The following is a GGA-PBE calculation of an optimized crystal structure of NaRh2S, from Alexandria.

```
data_NaRh2S
_space_group_name_H-M_alt 'P 1'
_space_group_IT_number 1
_space_group_name_Hall 'P 1'
_cell_length_a 7.253
_cell_length_b 7.253
_cell_length_c 5.845
_cell_angle_alpha 51.65
_cell_angle_beta 51.65
_cell_angle_gamma 90.00
loop_
_atom_site_label
_atom_site_type_symbol
_atom_site_fract_x
_atom_site_fract_y
_atom_site_fract_z
_atom_site_occupancy
Na1 Na 0.500 0.500 0.000 1
Na2 Na 0.250 0.750 0.500 1
S1 S 0.000 0.000 0.000 1
S2 S 0.750 0.250 0.500 1
Rh1 Rh 0.738 0.125 0.250 1
Rh2 Rh 0.012 0.625 0.250 1
Rh3 Rh 0.375 0.262 0.750 1
Rh4 Rh 0.875 0.988 0.750 1
```

Properties
Crystal system: tetragonal
Formation energy without anion corrections, eV/atom: -0.0852
Calculated density, kg/m3: 5872
E, eV per formula unit: -20.490
M_tot, Bohr magnetons per cell: 0.0

=====

The following is a GGA-PBE calculation of an optimized crystal structure of NaRhS2, from Alexandria.

```
data_NaRhS2
_space_group_name_H-M_alt 'P 1'
_space_group_IT_number 1
_space_group_name_Hall 'P 1'
_cell_length_a 6.803
_cell_length_b 6.803
_cell_length_c 6.061
_cell_angle_alpha 55.86
_cell_angle_beta 55.86
_cell_angle_gamma 90.00
loop_
_atom_site_label
_atom_site_type_symbol
_atom_site_fract_x
_atom_site_fract_y
_atom_site_fract_z
_atom_site_occupancy
Na1 Na 0.500 0.500 0.000 1
Na2 Na 0.250 0.750 0.500 1
S1 S 0.706 0.125 0.250 1
S2 S 0.044 0.625 0.250 1
S3 S 0.375 0.294 0.750 1
S4 S 0.875 0.956 0.750 1
Rh1 Rh 0.000 0.000 0.000 1
Rh2 Rh 0.750 0.250 0.500 1
```

Properties
Crystal system: tetragonal
Formation energy without anion corrections, eV/atom: -0.5202
Calculated density, kg/m3: 3699
E, eV per formula unit: -19.006
M_tot, Bohr magnetons per cell: 0.0

=====

The following is a GGA-PBE calculation of an optimized crystal structure of Na2SbRh2S6, from Alexandria.

```
data_Na2SbRh2S6
_space_group_name_H-M_alt 'P 1'
_space_group_IT_number 1
_space_group_name_Hall 'P 1'
_cell_length_a 6.347
_cell_length_b 6.347
_cell_length_c 6.981
_cell_angle_alpha 98.34
_cell_angle_beta 98.34
_cell_angle_gamma 120.85
loop_
_atom_site_label
_atom_site_type_symbol
_atom_site_fract_x
_atom_site_fract_y
_atom_site_fract_z
_atom_site_occupancy
Na1 Na 0.840 0.160 0.000 1
Na2 Na 0.160 0.840 0.000 1
Sb1 Sb 0.000 0.000 0.500 1
Rh1 Rh 0.333 0.667 0.500 1
Rh2 Rh 0.667 0.333 0.500 1
S1 S 0.705 0.705 0.700 1
S2 S 0.060 0.423 0.696 1
S3 S 0.295 0.295 0.300 1
S4 S 0.423 0.060 0.696 1
S5 S 0.940 0.577 0.304 1
S6 S 0.577 0.940 0.304 1
```

Properties
Crystal system: monoclinic
Formation energy without anion corrections, eV/atom: -0.6060
Calculated density, kg/m3: 4072
E, eV per formula unit: -52.894
M_tot, Bohr magnetons per cell: 0.0

=====

The following is a GGA-PBE calculation of an optimized crystal structure of Na3SbRh3S8, from Alexandria.

```
data_Na3SbRh3S8
_space_group_name_H-M_alt 'P 1'
_space_group_IT_number 1
_space_group_name_Hall 'P 1'
_cell_length_a 7.266
_cell_length_b 7.268
_cell_length_c 7.735
_cell_angle_alpha 118.05
_cell_angle_beta 90.00
_cell_angle_gamma 119.99
loop_
_atom_site_label
_atom_site_type_symbol
_atom_site_fract_x
_atom_site_fract_y
_atom_site_fract_z
_atom_site_occupancy
Na1 Na 0.000 0.000 0.000 1
Na2 Na 0.000 0.500 0.000 1
Na3 Na 0.500 0.500 0.000 1
Sb1 Sb 0.000 0.000 0.500 1
Rh1 Rh 0.500 0.000 0.500 1
Rh2 Rh 0.500 0.500 0.500 1
Rh3 Rh 0.000 0.500 0.500 1
S1 S 0.270 0.540 0.311 1
S2 S 0.730 0.460 0.689 1
S3 S 0.755 0.509 0.299 1
S4 S 0.245 0.491 0.701 1
S5 S 0.755 0.044 0.299 1
S6 S 0.245 0.956 0.701 1
S7 S 0.289 0.044 0.299 1
S8 S 0.711 0.956 0.701 1
```

Properties
Crystal system: trigonal
Formation energy without anion corrections, eV/atom: -0.6292
Calculated density, kg/m3: 4225
E, eV per formula unit: -72.592
M_tot, Bohr magnetons per cell: 0.0

=====

The following is a GGA-PBE calculation of an optimized crystal structure of NaRhSeS, from Alexandria.

```
data_NaRhSeS
_space_group_name_H-M_alt 'P 1'
_space_group_IT_number 1
_space_group_name_Hall 'P 1'
_cell_length_a 3.717
_cell_length_b 3.718
_cell_length_c 6.959
_cell_angle_alpha 90.00
_cell_angle_beta 105.48
_cell_angle_gamma 120.00
loop_
_atom_site_label
_atom_site_type_symbol
_atom_site_fract_x
_atom_site_fract_y
_atom_site_fract_z
_atom_site_occupancy
Na1 Na 0.981 0.389 0.385 1
Rh1 Rh 0.295 0.545 0.856 1
Se1 Se 0.091 0.944 0.050 1
S1 S 0.510 0.153 0.679 1
```

Properties
Crystal system: trigonal
Formation energy without anion corrections, eV/atom: -0.6945
Calculated density, kg/m3: 4965
E, eV per formula unit: -19.060
M_tot, Bohr magnetons per cell: 0.0

=====

The following is a GGA-PBE calculation of an optimized crystal structure of Na2SnRhS4, from Alexandria.

```
data_Na2SnRhS4
_space_group_name_H-M_alt 'P 1'
_space_group_IT_number 1
_space_group_name_Hall 'P 1'
_cell_length_a 3.766
_cell_length_b 6.438
_cell_length_c 6.939
_cell_angle_alpha 107.91
_cell_angle_beta 90.00
_cell_angle_gamma 90.00
loop_
_atom_site_label
_atom_site_type_symbol
_atom_site_fract_x
_atom_site_fract_y
_atom_site_fract_z
_atom_site_occupancy
Na1 Na 0.500 0.000 0.500 1
Na2 Na 0.000 0.500 0.500 1
Sn1 Sn 0.000 0.000 0.000 1
Rh1 Rh 0.500 0.500 0.000 1
S1 S 0.500 0.261 0.214 1
S2 S 0.500 0.739 0.786 1
S3 S 0.000 0.287 0.804 1
S4 S 0.000 0.713 0.196 1
```

Properties
Crystal system: monoclinic
Formation energy without anion corrections, eV/atom: -0.6908
Calculated density, kg/m3: 4106
E, eV per formula unit: -36.028
M_tot, Bohr magnetons per cell: 0.0

=====

The following is a GGA-PBE calculation of an optimized crystal structure of Na3TaRh2S6, from Alexandria.

```
data_Na3TaRh2S6
_space_group_name_H-M_alt 'P 1'
_space_group_IT_number 1
_space_group_name_Hall 'P 1'
_cell_length_a 6.268
_cell_length_b 6.268
_cell_length_c 6.783
_cell_angle_alpha 98.89
_cell_angle_beta 98.89
_cell_angle_gamma 118.47
loop_
_atom_site_label
_atom_site_type_symbol
_atom_site_fract_x
_atom_site_fract_y
_atom_site_fract_z
_atom_site_occupancy
Na1 Na 0.166 0.834 0.500 1
Na2 Na 0.834 0.166 0.500 1
Na3 Na 0.500 0.500 0.500 1
Ta1 Ta 0.000 0.000 0.000 1
Rh1 Rh 0.331 0.669 0.000 1
Rh2 Rh 0.669 0.331 0.000 1
S1 S 0.929 0.593 0.799 1
S2 S 0.723 0.723 0.196 1
S3 S 0.071 0.407 0.201 1
S4 S 0.593 0.929 0.799 1
S5 S 0.277 0.277 0.804 1
S6 S 0.407 0.071 0.201 1
```

Properties
Crystal system: monoclinic
Formation energy without anion corrections, eV/atom: -0.7732
Calculated density, kg/m3: 4820
E, eV per formula unit: -64.556
M_tot, Bohr magnetons per cell: 1.8